No. 1
Entry from Alexandria via LeMat-Bulk: a geometry-optimized BeSi2H structure (PBE).

Cell lengths 8.216, 3.919, 6.757 Å; angles 90.00, 90.00, 90.00 degrees
Fractional coordinates of all 16 atoms:
1 Si 0.645 0.500 0.430
2 Si 0.742 0.500 0.098
3 Si 0.258 0.000 0.598
4 Si 0.355 0.500 0.430
5 Si 0.258 0.500 0.098
6 Si 0.645 0.000 0.930
7 Si 0.742 0.000 0.598
8 Si 0.355 0.000 0.930
9 Be 0.000 0.753 0.089
10 Be 0.000 0.747 0.589
11 Be 0.000 0.253 0.589
12 Be 0.000 0.247 0.089
13 H 0.000 0.000 0.930
14 H 0.000 0.500 0.430
15 H 0.000 0.500 0.749
16 H 0.000 0.000 0.249

E above lowest polymorph (meV/atom): 14.4
Space-group type: Amm2 (38)
ρ (Mg/m³): 2.0

No. 2
Entry from Alexandria via LeMat-Bulk: a geometry-optimized BaGa2Au2 structure (PBE).

Cell lengths 8.237, 8.237, 3.578 Å; angles 90.00, 90.00, 90.00 degrees
Fractional coordinates of all 10 atoms:
1 Ba 0.000 0.000 0.000
2 Ba 0.500 0.500 0.000
3 Au 0.628 0.128 0.000
4 Au 0.372 0.872 0.000
5 Au 0.872 0.628 0.000
6 Au 0.128 0.372 0.000
7 Ga 0.355 0.145 0.500
8 Ga 0.855 0.355 0.500
9 Ga 0.145 0.645 0.500
10 Ga 0.645 0.855 0.500

DFT formation energy (eV per atom): -0.2176
Fermi-level density of states (states/eV/cell): 5.0
Space-group type: P4/mbm (127)
ρ (Mg/m³): 9.2

No. 3
Entry from Alexandria via LeMat-Bulk: a geometry-optimized CsGaTe3As structure (PBE).

Cell lengths 4.306, 10.168, 11.179 Å; angles 109.20, 90.00, 90.00 degrees
Fractional coordinates of all 12 atoms:
1 Te 0.250 0.523 0.852
2 Te 0.250 0.141 0.875
3 Te 0.750 0.199 0.557
4 Te 0.750 0.477 0.148
5 Te 0.750 0.859 0.125
6 Te 0.250 0.801 0.443
7 Cs 0.250 0.205 0.240
8 Cs 0.750 0.795 0.760
9 Ga 0.750 0.930 0.375
10 Ga 0.250 0.070 0.625
11 As 0.250 0.652 0.132
12 As 0.750 0.348 0.868

Fermi-level density of states (states/eV/cell): 2.7
Formation energy (no corrections) (meV per atom): -370
Space-group type: P2_1/m (11)
ρ (Mg/m³): 4.7

No. 4
Entry from Alexandria via LeMat-Bulk: a geometry-optimized MgBeReC2 structure (PBE).

Cell lengths 4.041, 4.263, 4.041 Å; angles 90.00, 90.00, 90.00 degrees
Fractional coordinates of all 5 atoms:
1 C 0.000 0.000 0.500
2 C 0.500 0.000 0.000
3 Re 0.000 0.000 0.000
4 Mg 0.500 0.500 0.500
5 Be 0.000 0.500 0.000

DFT formation energy (eV per atom): 1.0852
Fermi-level density of states (states/eV/cell): 2.1
Space-group type: P4/mmm (123)
ρ (Mg/m³): 5.8

No. 5
Entry from Alexandria via LeMat-Bulk: a geometry-optimized Nb3PBr structure (PBE).

Cell lengths 4.713, 4.713, 4.713 Å; angles 90.00, 90.00, 90.00 degrees
Fractional coordinates of all 5 atoms:
1 Br 0.500 0.500 0.500
2 Nb 0.000 0.000 0.500
3 Nb 0.000 0.500 0.000
4 Nb 0.500 0.000 0.000
5 P 0.000 0.000 0.000

Fermi-level density of states (states/eV/cell): 3.5
E above lowest polymorph (meV/atom): 0.0
Formation energy (no corrections) (meV per atom): 545
Space-group type: Pm-3m (221)
ρ (Mg/m³): 6.2

No. 6
Entry from Alexandria via LeMat-Bulk: a geometry-optimized Na2PaAs2Pd structure (PBE).

Cell lengths 4.390, 7.035, 8.470 Å; angles 90.00, 90.00, 90.00 degrees
Fractional coordinates of all 12 atoms:
1 Na 0.000 0.858 0.854
2 Na 0.000 0.358 0.146
3 Na 0.500 0.521 0.918
4 Na 0.500 0.021 0.082
5 Pa 0.000 0.994 0.469
6 Pa 0.000 0.494 0.531
7 Pd 0.500 0.640 0.325
8 Pd 0.500 0.140 0.675
9 As 0.000 0.768 0.191
10 As 0.500 0.764 0.620
11 As 0.000 0.268 0.809
12 As 0.500 0.264 0.380

DFT formation energy (eV per atom): -0.6374
Fermi-level density of states (states/eV/cell): 6.6
Space-group type: Pmc2_1 (26)
ρ (Mg/m³): 6.8

No. 7
Entry from Alexandria via LeMat-Bulk: a geometry-optimized BaSb4S8 structure (PBE).

Cell lengths 8.201, 8.201, 8.201 Å; angles 60.00, 60.00, 60.00 degrees
Fractional coordinates of all 13 atoms:
1 Sb 0.369 0.892 0.369
2 Sb 0.369 0.369 0.892
3 Sb 0.892 0.369 0.369
4 Sb 0.369 0.369 0.369
5 S 0.135 0.135 0.135
6 S 0.604 0.604 0.604
7 S 0.187 0.604 0.604
8 S 0.604 0.604 0.187
9 S 0.604 0.187 0.604
10 S 0.135 0.135 0.595
11 S 0.135 0.595 0.135
12 S 0.595 0.135 0.135
13 Ba 0.750 0.750 0.750

Fermi-level density of states (states/eV/cell): 11.3
Formation energy (no corrections) (meV per atom): -356
Space-group type: F-43m (216)
ρ (Mg/m³): 3.8

No. 8
Entry from Alexandria via LeMat-Bulk: a geometry-optimized HgBS2O8 structure (PBE).

Cell lengths 4.603, 6.635, 6.626 Å; angles 78.16, 69.68, 69.70 degrees
Fractional coordinates of all 12 atoms:
1 O 0.835 0.677 0.654
2 O 0.117 0.062 0.168
3 O 0.355 0.346 0.945
4 O 0.165 0.323 0.346
5 O 0.883 0.938 0.832
6 O 0.347 0.938 0.832
7 O 0.645 0.654 0.055
8 O 0.653 0.062 0.168
9 B 0.000 0.000 0.000
10 S 0.680 0.787 0.853
11 S 0.320 0.213 0.147
12 Hg 0.500 0.500 0.500

Fermi-level density of states (states/eV/cell): 2.3
Formation energy (no corrections) (meV per atom): -961
Space-group type: C2/m (12)
ρ (Mg/m³): 3.8

Here are the calculated uncorrected energy numbers, same order: -70.4, -31.2, -40.3, -30.8, -34.6, -60.9, -56.1, -66.4 (eV per cell).
Here are the calculated total moment numbers, same order: 0.000, 0.000, 0.000, 0.000, 0.000, 1.156, 0.000, 0.000 (Bohr magnetons per cell).